## Ac7FeSn4 (PBE-GGA)

Data for a relaxed Ac7FeSn4 crystal.

Values from the calculation:
ΔH_f (0 K)   -273.8 meV/atom
Mass density   7591 kg/m³
SG   C2/m (12)
Total energy   -4.710 eV per atom
D(E_F)   8.3 states/eV per cell

Cell lengths 8.9449, 8.9449, 12.0080 Å; angles 124.33, 124.33, 36.88 degrees
Element x y z (fractional)
Ac: 0.0000 0.0000 0.0000
Ac: 0.1410 0.1410 0.5500
Ac: 0.2844 0.2844 0.1325
Ac: 0.4271 0.4271 0.7290
Ac: 0.5729 0.5729 0.2710
Ac: 0.7156 0.7156 0.8675
Ac: 0.8590 0.8590 0.4500
Fe: 0.5000 0.5000 0.0000
Sn: 0.0783 0.0783 0.7783
Sn: 0.2238 0.2238 0.3477
Sn: 0.7762 0.7762 0.6523
Sn: 0.9217 0.9217 0.2217